DFT (PBE-GGA) results for crystalline LaGa4Ni2Pt at its relaxed geometry.

Lattice parameters (Å, degrees): 9.462 9.462 9.462 25.56 25.56 25.56
Fractional positions:
La 0.000 0.000 0.000
Ga 0.127 0.127 0.127
Ga 0.404 0.404 0.404
Ga 0.596 0.596 0.596
Ga 0.873 0.873 0.873
Ni 0.227 0.227 0.227
Ni 0.773 0.773 0.773
Pt 0.500 0.500 0.500

Computed properties:
Its total magnetization is 0.000 Bohr magnetons per cell. The calculated volume comes out at 17.349 Å³ per atom. Its formation energy is -522 meV/atom. Its density of states at the Fermi level is 2.82 states/eV per cell.



DFT (PBE-GGA) results for crystalline La2GaNi2Pt5 at its relaxed geometry.

Lattice parameters (Å, degrees): 9.416 9.416 3.996 90.00 90.00 90.00
Fractional positions:
La 0.176 0.324 0.000
La 0.324 0.824 0.000
La 0.676 0.176 0.000
La 0.824 0.676 0.000
Ga 0.000 0.000 0.000
Ga 0.500 0.500 0.000
Ni 0.124 0.624 0.000
Ni 0.376 0.124 0.000
Ni 0.624 0.876 0.000
Ni 0.876 0.376 0.000
Pt 0.000 0.500 0.500
Pt 0.065 0.793 0.500
Pt 0.207 0.065 0.500
Pt 0.293 0.565 0.500
Pt 0.435 0.293 0.500
Pt 0.500 0.000 0.500
Pt 0.565 0.707 0.500
Pt 0.707 0.435 0.500
Pt 0.793 0.935 0.500
Pt 0.935 0.207 0.500

Computed properties:
Its total magnetization is 0.000 Bohr magnetons per cell. The calculated volume comes out at 17.715 Å³ per atom. Its formation energy is -792 meV/atom. Its density of states at the Fermi level is 13.01 states/eV per cell.



DFT (PBE-GGA) results for crystalline La2Ga3NiPt12 at its relaxed geometry.

Lattice parameters (Å, degrees): 8.058 8.058 8.058 59.60 59.60 59.60
Fractional positions:
La 0.131 0.131 0.131
La 0.869 0.869 0.869
Ga 0.000 0.500 0.500
Ga 0.500 0.000 0.500
Ga 0.500 0.500 0.000
Ni 0.500 0.500 0.500
Pt 0.122 0.122 0.630
Pt 0.122 0.630 0.122
Pt 0.129 0.622 0.622
Pt 0.370 0.878 0.878
Pt 0.378 0.378 0.871
Pt 0.378 0.871 0.378
Pt 0.622 0.129 0.622
Pt 0.622 0.622 0.129
Pt 0.630 0.122 0.122
Pt 0.871 0.378 0.378
Pt 0.878 0.370 0.878
Pt 0.878 0.878 0.370

Computed properties:
Its total magnetization is 0.241 Bohr magnetons per cell. The calculated volume comes out at 20.368 Å³ per atom. Its formation energy is -357 meV/atom. Its density of states at the Fermi level is 12.92 states/eV per cell.



DFT (PBE-GGA) results for crystalline La2GaReNi at its relaxed geometry.

Lattice parameters (Å, degrees): 5.605 5.605 4.210 90.00 90.00 90.00
Fractional positions:
La 0.000 0.500 0.000
La 0.500 0.000 0.000
Ga 0.000 0.000 0.000
Re 0.500 0.500 0.500
Ni 0.000 0.000 0.500

Computed properties:
Its total magnetization is 0.912 Bohr magnetons per cell. The calculated volume comes out at 26.455 Å³ per atom. Its formation energy is 819 meV/atom. Its density of states at the Fermi level is 6.61 states/eV per cell.



DFT (PBE-GGA) results for crystalline La2GaNi5Rh2 at its relaxed geometry.

Lattice parameters (Å, degrees): 9.337 9.337 3.757 90.00 90.00 90.00
Fractional positions:
La 0.173 0.327 0.000
La 0.327 0.827 0.000
La 0.673 0.173 0.000
La 0.827 0.673 0.000
Ga 0.000 0.000 0.000
Ga 0.500 0.500 0.000
Ni 0.000 0.500 0.500
Ni 0.056 0.815 0.500
Ni 0.185 0.056 0.500
Ni 0.315 0.556 0.500
Ni 0.444 0.315 0.500
Ni 0.500 0.000 0.500
Ni 0.556 0.685 0.500
Ni 0.685 0.444 0.500
Ni 0.815 0.944 0.500
Ni 0.944 0.185 0.500
Rh 0.131 0.631 0.000
Rh 0.369 0.131 0.000
Rh 0.631 0.869 0.000
Rh 0.869 0.369 0.000

Computed properties:
Its total magnetization is 0.000 Bohr magnetons per cell. The calculated volume comes out at 16.375 Å³ per atom. Its formation energy is -263 meV/atom. Its density of states at the Fermi level is 18.48 states/eV per cell.



DFT (PBE-GGA) results for crystalline LaGa4NiRh2 at its relaxed geometry.

Lattice parameters (Å, degrees): 9.226 9.226 9.226 26.62 26.62 26.62
Fractional positions:
La 0.000 0.000 0.000
Ga 0.132 0.132 0.132
Ga 0.405 0.405 0.405
Ga 0.595 0.595 0.595
Ga 0.868 0.868 0.868
Ni 0.500 0.500 0.500
Rh 0.228 0.228 0.228
Rh 0.772 0.772 0.772

Computed properties:
Its total magnetization is 0.000 Bohr magnetons per cell. The calculated volume comes out at 17.377 Å³ per atom. Its formation energy is -628 meV/atom. Its density of states at the Fermi level is 5.06 states/eV per cell.